Entry 1:
Here is ZrTa2Mn after structural relaxation from Alexandria via LeMat-Bulk. Energies are from GGA-PBE.

Unit cell a=4.354 b=2.994 c=5.528 alpha=76.94 beta=90.00 gamma=90.00
Positions (direct):
Mn1 0.500 0.745 0.773
Ta1 0.000 0.962 0.986
Ta2 0.500 0.259 0.227
Zr1 0.000 0.534 0.515

Computed properties:
Formation energy from the elements, eV per atom: 0.15
Offset from the most stable computed form, eV/atom: 0.164
Magnetic moment, μB per cell: 0.0
Total energy, eV/f.u.: -40.8
Space-group type: No. 6



Entry 2:
Here is TbMn12 after structural relaxation from Alexandria via LeMat-Bulk. Energies are from GGA-PBE.

Unit cell a=6.307 b=6.307 c=6.307 alpha=97.98 beta=97.98 gamma=136.26
Last column: magnetic moment on the atom in μB.
Positions (direct):
Tb1 0.000 0.000 0.000  0.01
Mn1 0.500 0.500 0.500  -1.22
Mn2 0.000 0.000 0.500  -1.22
Mn3 0.500 0.000 0.000  -1.22
Mn4 0.000 0.500 0.000  -1.22
Mn5 0.000 0.365 0.365  0.41
Mn6 0.000 0.635 0.635  0.41
Mn7 0.635 0.000 0.635  0.41
Mn8 0.365 0.000 0.365  0.41
Mn9 0.500 0.270 0.770  1.42
Mn10 0.500 0.730 0.230  1.42
Mn11 0.730 0.500 0.230  1.42
Mn12 0.270 0.500 0.770  1.42

Computed properties:
Formation energy from the elements, eV per atom: 0.01
Magnetic moment, μB per cell: 2.5
Total energy, eV/f.u.: -114.5
Space-group type: No. 139



Entry 3:
Here is TbMn6 after structural relaxation from Alexandria via LeMat-Bulk. Energies are from GGA-PBE.

Unit cell a=5.268 b=5.268 c=5.268 alpha=109.47 beta=109.47 gamma=109.47
Positions (direct):
Tb1 0.000 0.000 0.000
Mn1 0.250 0.750 0.500
Mn2 0.500 0.750 0.250
Mn3 0.250 0.500 0.750
Mn4 0.750 0.250 0.500
Mn5 0.500 0.250 0.750
Mn6 0.750 0.500 0.250

Computed properties:
Formation energy from the elements, eV per atom: 0.66
Magnetic moment, μB per cell: 0.0
Total energy, eV/f.u.: -55.0
Space-group type: No. 229



Entry 4:
Here is Tb4Mn after structural relaxation from Alexandria via LeMat-Bulk. Energies are from GGA-PBE.

Unit cell a=5.312 b=5.312 c=5.312 alpha=90.00 beta=90.00 gamma=90.00
Last column: magnetic moment on the atom in μB.
Positions (direct):
Mn1 0.500 0.500 0.500  1.31
Tb1 0.000 0.000 0.000  -0.25
Tb2 0.500 0.000 0.500  -0.16
Tb3 0.000 0.500 0.500  -0.16
Tb4 0.500 0.500 0.000  -0.16

Computed properties:
Formation energy from the elements, eV per atom: 0.25
Offset from the most stable computed form, eV/atom: 0.000
Magnetic moment, μB per cell: 0.2
Total energy, eV/f.u.: -26.4
Space-group type: No. 221



Entry 5:
Here is Tb4Mn after structural relaxation from Alexandria via LeMat-Bulk. Energies are from GGA-PBE.

Unit cell a=7.496 b=7.496 c=7.496 alpha=60.00 beta=60.00 gamma=60.00
Last column: magnetic moment on the atom in μB.
Positions (direct):
Tb1 0.887 0.887 0.887  -0.14
Tb2 0.338 0.887 0.887  -0.14
Tb3 0.887 0.887 0.338  -0.14
Tb4 0.912 0.363 0.363  -0.14
Tb5 0.363 0.363 0.363  -0.14
Tb6 0.887 0.338 0.887  -0.14
Tb7 0.363 0.363 0.912  -0.14
Tb8 0.363 0.912 0.363  -0.14
Mn1 0.500 0.500 0.500  1.94
Mn2 0.750 0.750 0.750  1.94

Computed properties:
Formation energy from the elements, eV per atom: 0.54
Offset from the most stable computed form, eV/atom: 0.288
Magnetic moment, μB per cell: 1.9
Total energy, eV/f.u.: -25.0
Space-group type: No. 227



Entry 6:
Here is TbMnTc2 after structural relaxation from Alexandria via LeMat-Bulk. Energies are from GGA-PBE.

Unit cell a=2.903 b=2.903 c=9.309 alpha=81.03 beta=81.03 gamma=60.00
Last column: magnetic moment on the atom in μB.
Positions (direct):
Mn1 0.000 0.000 0.000  2.37
Tb1 0.500 0.500 0.500  0.06
Tc1 0.737 0.737 0.788  -0.31
Tc2 0.263 0.263 0.212  -0.31

Computed properties:
Formation energy from the elements, eV per atom: 0.48
Magnetic moment, μB per cell: 1.9
Total energy, eV/f.u.: -32.6
Space-group type: No. 166



Entry 7:
Here is TbMnTc after structural relaxation from Alexandria via LeMat-Bulk. Energies are from GGA-PBE.

Unit cell a=5.071 b=5.071 c=5.355 alpha=102.08 beta=102.08 gamma=123.93
Positions (direct):
Tb1 0.657 0.343 0.000
Tb2 0.343 0.657 0.000
Tc1 0.824 0.824 0.647
Tc2 0.176 0.176 0.353
Mn1 0.750 0.250 0.500
Mn2 0.250 0.750 0.500

Computed properties:
Formation energy from the elements, eV per atom: 0.29
Offset from the most stable computed form, eV/atom: 0.337
Magnetic moment, μB per cell: 0.1
Total energy, eV/f.u.: -23.3
Space-group type: No. 69



Entry 8:
Here is Tb2MnTc3 after structural relaxation from Alexandria via LeMat-Bulk. Energies are from GGA-PBE.

Unit cell a=5.285 b=5.285 c=5.508 alpha=90.04 beta=118.66 gamma=119.95
Last column: magnetic moment on the atom in μB.
Positions (direct):
Tb1 0.754 0.377 0.131  -0.11
Tb2 0.246 0.623 0.869  -0.11
Mn1 0.000 0.000 0.000  3.05
Tc1 0.500 0.500 0.500  0.01
Tc2 0.000 0.000 0.500  0.01
Tc3 0.500 0.000 0.500  0.01

Computed properties:
Formation energy from the elements, eV per atom: -0.13
Magnetic moment, μB per cell: 3.0
Total energy, eV/f.u.: -50.3
Space-group type: No. 166



Entry 9:
Here is TbMnTc after structural relaxation from Alexandria via LeMat-Bulk. Energies are from GGA-PBE.

Unit cell a=5.132 b=5.358 c=5.358 alpha=61.17 beta=61.38 gamma=61.38
Last column: magnetic moment on the atom in μB.
Positions (direct):
Tb1 0.877 0.373 0.373  -0.20
Tb2 0.123 0.627 0.627  -0.20
Mn1 0.500 0.500 0.000  2.44
Mn2 0.500 0.000 0.500  2.44
Tc1 0.000 0.000 0.000  -0.12
Tc2 0.500 0.000 0.000  -0.12

Computed properties:
Formation energy from the elements, eV per atom: -0.05
Offset from the most stable computed form, eV/atom: 0.000
Magnetic moment, μB per cell: 4.3
Total energy, eV/f.u.: -24.3
Space-group type: No. 74



Entry 10:
Here is Tb2MnTc after structural relaxation from Alexandria via LeMat-Bulk. Energies are from GGA-PBE.

Unit cell a=3.290 b=3.290 c=10.297 alpha=80.81 beta=80.81 gamma=60.00
Last column: magnetic moment on the atom in μB.
Positions (direct):
Mn1 0.000 0.000 0.000  3.90
Tb1 0.098 0.098 0.707  -0.15
Tb2 0.902 0.902 0.293  -0.15
Tc1 0.500 0.500 0.500  0.01

Computed properties:
Formation energy from the elements, eV per atom: 0.59
Magnetic moment, μB per cell: 3.6
Total energy, eV/f.u.: -26.4
Space-group type: No. 166



Entry 11:
Here is TbMn2Tc after structural relaxation from Alexandria via LeMat-Bulk. Energies are from GGA-PBE.

Unit cell a=2.967 b=2.967 c=9.295 alpha=80.82 beta=80.82 gamma=60.00
Last column: magnetic moment on the atom in μB.
Positions (direct):
Mn1 0.738 0.738 0.786  3.13
Mn2 0.262 0.262 0.214  3.13
Tb1 0.500 0.500 0.500  -0.24
Tc1 0.000 0.000 0.000  -0.41

Computed properties:
Formation energy from the elements, eV per atom: 0.54
Magnetic moment, μB per cell: 5.9
Total energy, eV/f.u.: -31.2
Space-group type: No. 166



Entry 12:
Here is TbThMnTc after structural relaxation from Alexandria via LeMat-Bulk. Energies are from GGA-PBE.

Unit cell a=4.992 b=4.992 c=4.992 alpha=60.00 beta=60.00 gamma=60.00
Last column: magnetic moment on the atom in μB.
Positions (direct):
Mn1 0.000 0.000 0.000  3.29
Tb1 0.750 0.750 0.750  -0.14
Tc1 0.500 0.500 0.500  0.29
Th1 0.250 0.250 0.250  -0.18

Computed properties:
Formation energy from the elements, eV per atom: 0.09
Magnetic moment, μB per cell: 3.3
Total energy, eV/f.u.: -31.2
Space-group type: No. 216